First-principles (PBE) data for crystalline PmMgTl4 at its relaxed geometry, as listed in Alexandria via LeMat-Bulk.

```
PmMgTl4
1.0
4.830 0.000 -0.002
0.000 4.828 -0.003
0.004 0.004 8.008
Pm Mg Tl
1 1 4
Cartesian
2.424 2.407 7.990
0.008 4.816 3.988
2.423 4.817 2.181
2.424 4.819 5.788
0.009 2.402 5.791
0.007 2.401 2.184
```

Summary:
V = 187 Å³ per cell
Total DFT energy (no corrections) = -2.61 eV/atom


First-principles (PBE) data for crystalline AcHoHg4 at its relaxed geometry, as listed in Alexandria via LeMat-Bulk.

```
AcHoHg4
1.0
-0.176 1.599 5.886
-5.223 1.957 2.475
-2.968 -3.497 4.024
Ac Hg Ho
1 4 1
Cartesian
-2.091 0.015 3.096
-3.743 1.792 5.727
-2.611 -0.946 6.505
-5.233 0.037 7.747
-5.145 -0.766 4.793
0.000 0.000 0.000
```

Summary:
V = 161 Å³ per cell
Total DFT energy (no corrections) = -1.90 eV/atom
Energy above the most stable polymorph in this dataset = 0.825 eV per formula unit


First-principles (PBE) data for crystalline Sc3GaO at its relaxed geometry, as listed in Alexandria via LeMat-Bulk.

```
Sc3GaO
1.0
6.082 0.000 0.000
0.000 6.082 0.000
3.041 3.041 5.486
Sc O Ga
6 2 2
Cartesian
1.545 6.082 1.296
3.041 7.578 4.190
3.041 4.587 4.190
4.537 6.082 1.296
3.041 3.041 1.399
6.082 6.082 4.087
0.000 0.000 0.000
3.041 6.082 2.743
6.082 3.041 4.122
6.082 3.041 1.364
```

Summary:
V = 203 Å³ per cell
Uncorrected formation energy = -1.048 eV per atom
Total DFT energy (no corrections) = -6.44 eV/atom


First-principles (PBE) data for crystalline Mg7Ga2Ge2 at its relaxed geometry, as listed in Alexandria via LeMat-Bulk.

```
Mg7Ga2Ge2
1.0
5.846 -0.002 -0.949
0.003 7.361 0.003
-1.311 -0.002 5.775
Mg Ga Ge
7 2 2
Cartesian
-0.655 2.182 2.889
1.614 5.175 5.303
5.192 5.174 1.940
2.924 2.182 -0.474
0.000 0.000 0.000
2.270 5.712 2.415
2.268 1.645 2.414
3.879 -0.002 0.899
0.658 7.359 3.930
3.640 3.677 3.874
0.897 3.680 0.955
```

Summary:
V = 239 Å³ per cell
Total DFT energy (no corrections) = -2.47 eV/atom


First-principles (PBE) data for crystalline Ba2LaOs at its relaxed geometry, as listed in Alexandria via LeMat-Bulk.

```
Ba2LaOs
1.0
-4.032 -3.667 -0.418
3.536 -3.185 2.689
-1.299 4.720 2.431
Os Ba La
1 2 1
Cartesian
-2.790 -1.186 1.575
0.000 0.000 0.000
0.995 -0.945 3.128
-0.248 -3.426 1.136
```

Summary:
V = 121 Å³ per cell
Total DFT energy (no corrections) = -4.36 eV/atom
Energy above the most stable polymorph in this dataset = 1.806 eV per formula unit


First-principles (PBE) data for crystalline LaErH at its relaxed geometry, as listed in Alexandria via LeMat-Bulk.

```
LaErH
1.0
-3.599 -0.317 -1.071
1.363 -4.902 -3.131
-2.534 0.943 8.240
H La Er
2 2 2
Cartesian
-1.170 -2.416 1.332
-3.600 -1.860 2.707
-1.723 -0.490 2.621
-3.047 -3.786 1.418
-4.106 -2.645 4.640
-0.664 -1.631 -0.601
```

Summary:
V = 148 Å³ per cell
Total DFT energy (no corrections) = -4.51 eV/atom
Energy above the most stable polymorph in this dataset = 0.000 eV per formula unit


First-principles (PBE) data for crystalline Sb2PtBr at its relaxed geometry, as listed in Alexandria via LeMat-Bulk.

```
Sb2PtBr
1.0
-1.391 0.681 2.999
-1.060 -6.107 0.896
4.131 -0.422 2.011
Sb Br Pt
2 1 1
Cartesian
0.000 0.000 0.000
-1.225 -2.713 1.948
1.370 0.130 2.505
1.536 -3.264 1.453
```

Summary:
V = 98 Å³ per cell
Uncorrected formation energy = 0.271 eV per atom
Total DFT energy (no corrections) = -3.72 eV/atom
Energy above the most stable polymorph in this dataset = 2.740 eV per formula unit


First-principles (PBE) data for crystalline Ni2PbCl at its relaxed geometry, as listed in Alexandria via LeMat-Bulk.

```
Ni2PbCl
1.0
7.276 0.000 0.000
6.492 3.286 0.000
6.492 1.550 2.898
Cl Ni Pb
1 2 1
Cartesian
15.194 3.627 2.174
0.087 0.021 0.013
10.042 2.397 1.437
5.065 1.209 0.725
```

Summary:
V = 69 Å³ per cell
Uncorrected formation energy = 0.228 eV per atom
Total DFT energy (no corrections) = -4.05 eV/atom
Energy above the most stable polymorph in this dataset = 0.714 eV per formula unit